# 1
This record from Alexandria describes crystalline PuZrSe2 at its relaxed geometry. The functional is PBE.

Values from the calculation:
SG	No. 194
total moment	5.62	μB per formula unit
relative energy among the computed polymorphs	0.09	eV per formula unit
density of states at the Fermi level	17.10	states/eV per cell

Geometry as extended XYZ:
```
8
Lattice="3.921 0.000 0.000 -1.961 3.396 0.000 0.000 0.000 13.618" Properties=species:S:1:pos:R:3 pbc="T T T"
Pu 0.000 2.264 3.404
Pu 1.961 1.132 10.213
Zr 0.000 0.000 0.000
Zr 0.000 0.000 6.809
Se 0.000 2.264 8.385
Se 0.000 2.264 12.042
Se 1.961 1.132 1.576
Se 1.961 1.132 5.233
```

---

# 2
This record from Alexandria describes crystalline Pu2ZrSe6 at its relaxed geometry. The functional is PBE.

Values from the calculation:
E_tot	-7.5778	eV per atom
SG	No. 136
total moment	8.02	μB per formula unit
density of states at the Fermi level	37.35	states/eV per cell

Geometry as extended XYZ:
```
18
Lattice="6.581 0.000 0.000 0.000 6.581 0.000 0.000 0.000 12.356" Properties=species:S:1:pos:R:3 pbc="T T T"
Pu 0.000 0.000 2.095
Pu 0.000 0.000 10.260
Pu 3.290 3.290 4.083
Pu 3.290 3.290 8.273
Zr 0.000 0.000 6.178
Zr 3.290 3.290 0.000
Se 1.293 1.293 4.229
Se 1.293 1.293 8.126
Se 1.340 1.340 0.000
Se 1.951 4.630 6.178
Se 1.997 4.584 1.948
Se 1.997 4.584 10.407
Se 4.584 1.997 1.948
Se 4.584 1.997 10.407
Se 4.630 1.951 6.178
Se 5.241 5.241 0.000
Se 5.288 5.288 4.229
Se 5.288 5.288 8.126
```

---

# 3
This record from Alexandria describes crystalline Pu4ZrSe5 at its relaxed geometry. The functional is PBE.

Values from the calculation:
E_tot	-9.7656	eV per atom
SG	No. 166
total moment	0.29	μB per formula unit
density of states at the Fermi level	35.49	states/eV per cell

Geometry as extended XYZ:
```
10
Lattice="2.040 1.178 16.638 -2.040 1.178 16.638 0.000 -2.355 16.638" Properties=species:S:1:pos:R:3 pbc="T T T"
Pu 0.000 0.000 5.184
Pu 0.000 0.000 14.912
Pu 0.000 0.000 35.003
Pu 0.000 0.000 44.732
Zr 0.000 0.000 24.958
Se 0.000 0.000 0.000
Se 0.000 0.000 9.813
Se 0.000 0.000 20.090
Se 0.000 0.000 29.825
Se 0.000 0.000 40.102
```

---

# 4
This record from Alexandria describes crystalline Pu2Zr3Se8 at its relaxed geometry. The functional is PBE.

Values from the calculation:
E_tot	-7.6650	eV per atom
SG	No. 12
total moment	11.73	μB per formula unit
density of states at the Fermi level	27.90	states/eV per cell

Geometry as extended XYZ:
```
13
Lattice="7.204 -3.860 0.000 7.204 3.860 0.000 -2.051 0.000 6.386" Properties=species:S:1:pos:R:3 pbc="T T T"
Pu 2.880 0.000 2.105
Pu 9.478 0.000 4.281
Zr -1.025 0.000 3.193
Zr 7.204 1.861 0.000
Zr 7.204 -1.861 0.000
Se -0.207 0.000 5.773
Se 4.371 1.926 3.763
Se 7.987 1.926 2.623
Se 5.392 0.000 0.538
Se 6.966 0.000 5.848
Se 4.371 -1.926 3.763
Se 7.987 -1.926 2.623
Se 12.565 0.000 0.613
```